1.
A geometry-optimized LiAgRh2 structure. Source: Alexandria, functional PBE.

The space group is P4mm (No. 99) and the conventional cell measures 2.781, 2.781 and 7.659 Å, with angles of 90.00, 90.00 and 90.00 degrees. Symmetry generates all atoms from Li at (0.000, 0.000, 0.000), Ag at (0.500, 0.500, 0.745), Rh at (0.000, 0.000, 0.467) and Rh at (0.500, 0.500, 0.238).

The calculation puts the final energy at -19.46 eV/f.u. As for the formation energy from the elements: 2 meV per atom. Its volume is 59.2 Å³ per cell. For the energy above the most stable polymorph in this dataset, the calculation gives 0.006 eV per atom.

2.
A geometry-optimized ZrSnH structure. Source: Alexandria, functional PBE.

The space group is C2/m (No. 12) and the conventional cell measures 5.516, 3.655 and 10.144 Å, with angles of 90.00, 95.16 and 90.00 degrees. Symmetry generates all atoms from Zr at (0.195, 0.000, 0.366), Sn at (0.015, 0.500, 0.141) and H at (0.160, 0.000, 0.571).

The calculation puts the final energy at -17.08 eV/f.u. Its volume is 203.7 Å³ per cell. For the energy above the most stable polymorph in this dataset, the calculation gives 0.085 eV per atom.

3.
A geometry-optimized Cd2ReAs structure. Source: Alexandria, functional PBE.

The space group is Immm (No. 71) and the conventional cell measures 2.885, 4.072 and 14.087 Å, with angles of 90.00, 90.00 and 90.00 degrees. Symmetry generates all atoms from Cd at (0.000, 0.000, 0.185), Re at (0.000, 0.500, 0.500) and As at (0.000, 0.500, 0.000).

The calculation puts the final energy at -17.68 eV/f.u. As for the formation energy from the elements: 311 meV per atom. Its volume is 165.5 Å³ per cell.

4.
A geometry-optimized GdCdGa4 structure. Source: Alexandria, functional PBE.

The space group is F-43m (No. 216) and the conventional cell measures 7.893, 7.893 and 7.893 Å, with angles of 90.00, 90.00 and 90.00 degrees. Symmetry generates all atoms from Gd at (0.000, 0.000, 0.000), Cd at (0.250, 0.250, 0.750) and Ga at (0.125, 0.125, 0.375).

The calculation puts the final energy at -28.41 eV/f.u. As for the formation energy from the elements: -217 meV per atom. Its volume is 491.7 Å³ per cell.

5.
A geometry-optimized Ce2PuPbN structure. Source: Alexandria, functional PBE.

The space group is P4/mmm (No. 123) and the conventional cell measures 4.968, 4.968 and 4.814 Å, with angles of 90.00, 90.00 and 90.00 degrees. Symmetry generates all atoms from Ce at (0.000, 0.500, 0.000), Pu at (0.000, 0.000, 0.500), Pb at (0.500, 0.500, 0.500) and N at (0.000, 0.000, 0.000).

The calculation puts the final energy at -42.14 eV/f.u. Its volume is 118.8 Å³ per cell. Its formation energy without anion corrections is -75.3 kJ/mol of atoms.

6.
A geometry-optimized ScSbRu2 structure. Source: Alexandria, functional PBE.

The space group is R-3m (No. 166, hexagonal axes) and the conventional cell measures 3.2003, 3.2003 and 24.1997 Å, with angles of 90.00, 90.00 and 120.00 degrees. Symmetry generates all atoms from Sc at (0.0000, 0.0000, 0.0000), Sb at (0.0000, 0.0000, 0.5000) and Ru at (0.0000, 0.0000, 0.2473).

The calculation puts the final energy at -28.94 eV/f.u. Its volume is 214.6 Å³ per cell. Its formation energy without anion corrections is 1.5 kJ/mol of atoms.

7.
A geometry-optimized MgCuRhAu2 structure. Source: Alexandria, functional PBE.

The space group is P4/mmm (No. 123) and the conventional cell measures 4.679, 4.679 and 4.514 Å, with angles of 90.00, 90.00 and 90.00 degrees. Symmetry generates all atoms from Mg at (0.000, 0.000, 0.000), Cu at (0.000, 0.000, 0.500), Rh at (0.500, 0.500, 0.000) and Au at (0.000, 0.500, 0.500).

The calculation puts the final energy at -16.64 eV/f.u. As for the formation energy from the elements: 592 meV per atom. Its volume is 98.8 Å³ per cell.

8.
A geometry-optimized MoW2Se4S2 structure. Source: Alexandria, functional PBE.

The space group is P3m1 (No. 156) and the conventional cell measures 3.2786, 3.2786 and 22.0255 Å, with angles of 90.00, 90.00 and 120.00 degrees. Symmetry generates all atoms from Mo at (0.0000, 0.0000, 0.0000), W at (0.0000, 0.0000, 0.6534), W at (0.6667, 0.3333, 0.3203), Se at (0.0000, 0.0000, 0.2432), Se at (0.0000, 0.0000, 0.3975), Se at (0.6667, 0.3333, 0.5763), Se at (0.6667, 0.3333, 0.7306), S at (0.6667, 0.3333, 0.0698) and S at (0.6667, 0.3333, 0.9302).

The calculation puts the final energy at -64.84 eV/f.u. Its volume is 205.0 Å³ per cell. Its formation energy without anion corrections is -63.3 kJ/mol of atoms. For the energy above the most stable polymorph in this dataset, the calculation gives 0.023 eV per atom.

9.
A geometry-optimized Ag3H2Pd2 structure. Source: Alexandria, functional PBE.

The space group is Cmme (No. 67) and the conventional cell measures 4.436, 10.599 and 8.161 Å, with angles of 90.00, 90.00 and 90.00 degrees. Symmetry generates all atoms from Ag at (0.000, 0.104, 0.104), Ag at (0.000, 0.250, 0.380), H at (0.000, 0.250, 0.713), H at (0.250, 0.000, 0.500) and Pd at (0.000, 0.089, 0.652).

The calculation puts the final energy at -25.31 eV/f.u. Its volume is 383.7 Å³ per cell.

10.
A geometry-optimized TcMo2W structure. Source: Alexandria, functional PBE.

The space group is C2/m (No. 12) and the conventional cell measures 5.426, 8.938 and 2.731 Å, with angles of 90.00, 109.29 and 90.00 degrees. Symmetry generates all atoms from Tc at (0.000, 0.000, 0.000), Mo at (0.250, 0.250, 0.500) and W at (0.000, 0.500, 0.000).

The calculation puts the final energy at -44.81 eV/f.u. As for the formation energy from the elements: 43 meV per atom. Its volume is 125.0 Å³ per cell. For the energy above the most stable polymorph in this dataset, the calculation gives 0.028 eV per atom.

11.
A geometry-optimized TaMn2Os structure. Source: Alexandria, functional PBE.

The space group is Fm-3m (No. 225) and the conventional cell measures 6.003, 6.003 and 6.003 Å, with angles of 90.00, 90.00 and 90.00 degrees. Symmetry generates all atoms from Ta at (0.000, 0.000, 0.000), Mn at (0.250, 0.250, 0.250) and Os at (0.000, 0.000, 0.500).

The calculation puts the final energy at -40.95 eV/f.u. As for the formation energy from the elements: 118 meV per atom. Its volume is 216.3 Å³ per cell. For the energy above the most stable polymorph in this dataset, the calculation gives 0.207 eV per atom.

12.
A geometry-optimized AcPm2SmTm4 structure. Source: Alexandria, functional PBE.

The space group is Imma (No. 74) and the conventional cell measures 6.886, 11.924 and 13.421 Å, with angles of 90.00, 90.00 and 90.00 degrees. Symmetry generates all atoms from Ac at (0.000, 0.000, 0.000), Pm at (0.000, 0.000, 0.500), Pm at (0.250, 0.250, 0.250), Sm at (0.250, 0.250, 0.750), Tm at (0.000, 0.001, 0.742) and Tm at (0.237, 0.250, 0.501).

The calculation puts the final energy at -32.72 eV/f.u. As for the formation energy from the elements: 437 meV per atom. Its volume is 1102.0 Å³ per cell.